A plane-wave DFT calculation with PBE was carried out for crystalline IrOs at its relaxed geometry.

abc: 3.3275 3.3275 5.3978
angles: 90.00 90.00 90.00
Element x y z (fractional)
Ir: 0.0000 0.0000 0.0002
Ir: 0.5000 0.5000 0.2498
Os: 0.0000 0.0000 0.5002
Os: 0.5000 0.5000 0.7498

## Properties
E_form, eV per atom: 0.5292